Record 1
Crystalline K3RhI at its relaxed geometry, computed with PBE-GGA.

a b c (Å): 6.0835 6.0835 6.0835
angles (deg): 90.00 90.00 90.00
Last column: magnetic moment on the atom in μB.
Fractional coordinates of all 5 atoms:
I 0.5000 0.5000 0.5000  0.00
K 0.0000 0.5000 0.0000  0.00
K 0.0000 0.0000 0.5000  -0.01
K 0.5000 0.0000 0.0000  0.02
Rh 0.0000 0.0000 0.0000  0.81

**Total magnetic moment**: 0.98 μB/f.u.
**SG**: Pm-3m
**Density**: 2.560 Mg/m³
**Energy above the most stable polymorph in this dataset**: 0 meV/atom

Record 2
Crystalline Ti2GeCl at its relaxed geometry, computed with PBE-GGA.

a b c (Å): 4.5139 4.5139 4.5139
angles (deg): 60.00 60.00 60.00
Fractional coordinates of all 4 atoms:
Ge 0.5000 0.5000 0.5000
Cl 0.0000 0.0000 0.0000
Ti 0.2500 0.2500 0.2500
Ti 0.7500 0.7500 0.7500

**Total magnetic moment**: 0.00 μB/f.u.
**SG**: Fm-3m
**Density**: 5.204 Mg/m³
**Energy above the most stable polymorph in this dataset**: 0 meV/atom

Record 3
Crystalline Ba2ZnNi at its relaxed geometry, computed with PBE-GGA.

a b c (Å): 3.9456 3.9453 8.8682
angles (deg): 63.55 90.00 90.00
Fractional coordinates of all 4 atoms:
Ba 0.0000 0.9811 0.0187
Ba 0.0000 0.5189 0.4813
Ni 0.5000 0.2500 0.2500
Zn 0.5000 0.7500 0.7500

**Total magnetic moment**: 0.00 μB/f.u.
**ΔH_f (0 K)**: 0.051 eV/atom
**SG**: P4/mmm
**Density**: 5.357 Mg/m³

Record 4
Crystalline KOsS4 at its relaxed geometry, computed with PBE-GGA.

a b c (Å): 6.0769 6.9681 8.0716
angles (deg): 115.57 100.42 90.00
Fractional coordinates of all 12 atoms:
K 0.8041 0.7969 0.5938
K 0.1959 0.2031 0.4062
Os 0.2428 0.5268 0.0537
Os 0.7572 0.4732 0.9463
S 0.2427 0.6891 0.3783
S 0.4248 0.2231 0.8511
S 0.0000 0.2390 0.0000
S 0.5752 0.3720 0.1489
S 0.7573 0.3109 0.6217
S 0.5752 0.7769 0.1489
S 0.0000 0.7610 0.0000
S 0.4248 0.6280 0.8511

**Total magnetic moment**: 0.00 μB/f.u.
**Total energy**: -4.96 eV per atom
**SG**: C2/m
**Density**: 3.932 Mg/m³

Record 5
Crystalline Sm2Th2Sc3 at its relaxed geometry, computed with PBE-GGA.

a b c (Å): 3.4236 8.2505 9.1730
angles (deg): 58.89 68.02 78.02
Fractional coordinates of all 7 atoms:
Sm 0.4195 0.5896 0.2867
Sm 0.5805 0.4104 0.7133
Th 0.8045 0.7247 0.8325
Th 0.1955 0.2753 0.1675
Sc 0.0000 0.0000 0.0000
Sc 0.3548 0.1324 0.5778
Sc 0.6452 0.8676 0.4222

**Total magnetic moment**: 0.00 μB/f.u.
**ΔH_f (0 K)**: 0.065 eV/atom
**SG**: P-1
**Density**: 7.263 Mg/m³
**Energy above the most stable polymorph in this dataset**: 0 meV/atom

Record 6
Crystalline PmTlPbCl6 at its relaxed geometry, computed with PBE-GGA.

a b c (Å): 7.4338 7.4338 13.4984
angles (deg): 90.00 90.00 120.00
Fractional coordinates of all 18 atoms:
Pm 0.6667 0.3333 0.2500
Pm 0.3333 0.6667 0.7500
Tl 0.0000 0.0000 0.0000
Tl 0.0000 0.0000 0.5000
Pb 0.3333 0.6667 0.2500
Pb 0.6667 0.3333 0.7500
Cl 0.6440 0.6255 0.1355
Cl 0.9816 0.3560 0.1355
Cl 0.3560 0.9816 0.6355
Cl 0.0184 0.6440 0.8645
Cl 0.3745 0.3560 0.3645
Cl 0.9816 0.6255 0.3645
Cl 0.6255 0.9816 0.8645
Cl 0.6440 0.0184 0.3645
Cl 0.0184 0.3745 0.6355
Cl 0.3745 0.0184 0.1355
Cl 0.6255 0.6440 0.6355
Cl 0.3560 0.3745 0.8645

**Total magnetic moment**: 0.00 μB/f.u.
**Total energy**: -4.08 eV per atom
**SG**: P-31c
**Density**: 3.955 Mg/m³